1.
# ScTl4Cl6 | Alexandria | PBE-GGA | optimized geometry
# Uncorrected formation energy: -13.833 eV per formula unit
data_ScTl4Cl6
_chemical_formula_sum 'Sc2 Tl8 Cl12'
_symmetry_space_group_name_H-M 'P 4/m n c'
_symmetry_Int_Tables_number 128
_symmetry_space_group_name_Hall '-P 4 2n'
_cell_length_a 8.4676
_cell_length_b 8.4676
_cell_length_c 10.0303
_cell_angle_alpha 90.00
_cell_angle_beta 90.00
_cell_angle_gamma 90.00
loop_
_atom_site_label
_atom_site_fract_x
_atom_site_fract_y
_atom_site_fract_z
Sc1 0.0000 0.0000 0.0000
Tl1 0.1556 0.3444 0.2500
Cl1 0.0000 0.0000 0.2543
Cl2 0.1253 0.7282 0.0000

=====

2.
# Sc3TlCl | Alexandria | PBE-GGA | optimized geometry
# E above lowest polymorph: 0.0000 eV/atom
# Uncorrected formation energy: -2.259 eV per formula unit
data_Sc3TlCl
_chemical_formula_sum 'Sc3 Tl1 Cl1'
_symmetry_space_group_name_H-M 'P m -3 m'
_symmetry_Int_Tables_number 221
_symmetry_space_group_name_Hall '-P 4 2 3'
_cell_length_a 4.8006
_cell_length_b 4.8006
_cell_length_c 4.8006
_cell_angle_alpha 90.00
_cell_angle_beta 90.00
_cell_angle_gamma 90.00
loop_
_atom_site_label
_atom_site_fract_x
_atom_site_fract_y
_atom_site_fract_z
Sc1 0.0000 0.0000 0.5000
Tl1 0.5000 0.5000 0.5000
Cl1 0.0000 0.0000 0.0000

=====

3.
# ScTl2Cl5 | Alexandria | PBE-GGA | optimized geometry
# Uncorrected formation energy: -12.453 eV per formula unit
data_ScTl2Cl5
_chemical_formula_sum 'Sc4 Tl8 Cl20'
_symmetry_space_group_name_H-M 'C m c m'
_symmetry_Int_Tables_number 63
_symmetry_space_group_name_Hall '-C 2c 2'
_cell_length_a 5.1347
_cell_length_b 16.7441
_cell_length_c 13.7282
_cell_angle_alpha 90.00
_cell_angle_beta 90.00
_cell_angle_gamma 90.00
loop_
_atom_site_label
_atom_site_fract_x
_atom_site_fract_y
_atom_site_fract_z
Sc1 0.0000 0.1514 0.2500
Tl1 0.0000 0.1412 0.5706
Cl1 0.0000 0.0491 0.1234
Cl2 0.0000 0.2577 0.1173
Cl3 0.0000 0.3367 0.7500